1.
{"formula": "Hg4TeAsCl", "functional": "PBE", "state": "relaxed", "crystal_system": "monoclinic", "volume_a3_per_cell": 423, "formation_energy_uncorrected_ev_per_atom": -0.14, "total_magnetization_mub_per_fu": 0.00, "cell": [[7.5214, 0.0000, 0.0000], [0.0000, 7.2443, 0.0000], [-2.3208, 0.0000, 7.7559]], "species": ["Hg", "Hg", "Hg", "Hg", "Hg", "Hg", "Hg", "Hg", "Te", "Te", "As", "As", "Cl", "Cl"], "frac_coords": [[0.0187, 0.0636, 0.2504], [0.0187, 0.4364, 0.2504], [0.3903, 0.2500, 0.0828], [0.3916, 0.2500, 0.5997], [0.6084, 0.7500, 0.4003], [0.6097, 0.7500, 0.9172], [0.9813, 0.5636, 0.7496], [0.9813, 0.9364, 0.7496], [0.3664, 0.7500, 0.5964], [0.6336, 0.2500, 0.4036], [0.1575, 0.2500, 0.7796], [0.8425, 0.7500, 0.2204], [0.2808, 0.7500, 0.0892], [0.7192, 0.2500, 0.9108]]}

***

2.
{"formula": "LaCd2Bi2", "functional": "PBE", "state": "relaxed", "crystal_system": "tetragonal", "polymorph_energy_kj_per_mol_fu": 62, "volume_a3_per_cell": 153, "formation_energy_kj_per_mol_atoms": -29.4, "total_magnetization_mub_per_fu": 0.00, "cell": [[-2.1948, 2.1948, 7.9226], [2.1948, -2.1948, 7.9226], [2.1948, 2.1948, -7.9226]], "species": ["La", "Cd", "Cd", "Bi", "Bi"], "frac_coords": [[0.0000, 0.0000, 0.0000], [0.2500, 0.7500, 0.5000], [0.7500, 0.2500, 0.5000], [0.3976, 0.3976, 0.0000], [0.6024, 0.6024, 0.0000]]}

***

Please write out number 2 again, unchanged.
{"formula": "LaCd2Bi2", "functional": "PBE", "state": "relaxed", "crystal_system": "tetragonal", "polymorph_energy_kj_per_mol_fu": 62, "volume_a3_per_cell": 153, "formation_energy_kj_per_mol_atoms": -29.4, "total_magnetization_mub_per_fu": 0.00, "cell": [[-2.1948, 2.1948, 7.9226], [2.1948, -2.1948, 7.9226], [2.1948, 2.1948, -7.9226]], "species": ["La", "Cd", "Cd", "Bi", "Bi"], "frac_coords": [[0.0000, 0.0000, 0.0000], [0.2500, 0.7500, 0.5000], [0.7500, 0.2500, 0.5000], [0.3976, 0.3976, 0.0000], [0.6024, 0.6024, 0.0000]]}